20
Lattice="10.274 0.000 0.000 -3.425 9.686 0.000 -3.425 -4.843 8.389" Properties=species:S:1:pos:R:3 comment="Cs4InPb3Br12 PBE-GGA optimized geometry" raw_formation_energy_kj_per_mol_fu=-2424.7 spacegroup="Im-3m (229)" magnetic_moment_mub_per_fu=0.000 pbc="T T T"
Pb -3.425 2.422 4.194
Br -1.676 1.185 2.052
Br 5.174 7.317 0.000
Br 1.712 -1.211 6.292
Cs -1.712 4.843 0.000
In 0.000 0.000 0.000
Br 5.137 0.000 4.194
Br -5.174 3.658 6.337
Cs -1.712 -2.422 4.194
Br 1.676 -1.185 2.052
Pb 3.425 -2.422 4.194
Br -1.712 1.211 6.292
Pb 3.425 4.843 0.000
Cs 1.712 2.422 4.194
Br -1.712 4.843 4.194
Br 1.712 6.054 2.097
Br 5.174 -3.658 6.337
Br 5.137 3.632 2.097
Cs 5.137 0.000 0.000
Br 1.676 2.370 0.000